A geometry-optimized VCr2Pd structure, computed with GGA-PBE.

Lattice parameters (Å, degrees): 2.962 2.962 6.119 90.00 90.00 90.00
Fractional coordinates of all 4 atoms:
V1 0.000 0.000 0.000
Cr1 0.500 0.500 0.224
Cr2 0.500 0.500 0.776
Pd1 0.000 0.000 0.500

V, Å³/f.u.: 53.7
Total DFT energy (no corrections), eV per atom: -8.2840
Distance to the lowest polymorph of the same formula, eV/atom: 0.0000
Density of states at the Fermi level, states/eV per atom: 1.197
Formation energy, eV/atom: 0.11

A geometry-optimized VCrPd14 structure, computed with GGA-PBE.

Lattice parameters (Å, degrees): 5.554 5.554 7.824 90.00 90.00 90.00
Fractional coordinates of all 16 atoms:
V1 0.000 0.000 0.000
Cr1 0.500 0.500 0.000
Pd1 0.000 0.000 0.500
Pd2 0.000 0.500 0.000
Pd3 0.000 0.500 0.500
Pd4 0.249 0.249 0.241
Pd5 0.249 0.249 0.759
Pd6 0.249 0.751 0.241
Pd7 0.249 0.751 0.759
Pd8 0.500 0.000 0.000
Pd9 0.500 0.000 0.500
Pd10 0.500 0.500 0.500
Pd11 0.751 0.249 0.241
Pd12 0.751 0.249 0.759
Pd13 0.751 0.751 0.241
Pd14 0.751 0.751 0.759

V, Å³/f.u.: 241.3
Total DFT energy (no corrections), eV per atom: -5.8170
Density of states at the Fermi level, states/eV per atom: 1.688
Formation energy, eV/atom: -0.10

A geometry-optimized VCr2Pd structure, computed with GGA-PBE.

Lattice parameters (Å, degrees): 9.329 9.329 9.329 158.02 158.02 31.28
Fractional coordinates of all 8 atoms:
V1 0.000 0.000 0.000
V2 0.750 0.250 0.500
Cr1 0.080 0.625 0.955
Cr2 0.375 0.330 0.455
Cr3 0.670 0.125 0.045
Cr4 0.875 0.920 0.545
Pd1 0.250 0.750 0.500
Pd2 0.500 0.500 0.000

V, Å³/f.u.: 56.8
Total DFT energy (no corrections), eV per atom: -7.7893
Distance to the lowest polymorph of the same formula, eV/atom: 0.4947
Density of states at the Fermi level, states/eV per atom: 1.324
Formation energy, eV/atom: 0.60

A geometry-optimized V2CrPd9 structure, computed with GGA-PBE.

Lattice parameters (Å, degrees): 3.902 3.902 11.712 90.00 90.00 90.00
Fractional coordinates of all 12 atoms:
V1 0.000 0.000 0.171
V2 0.000 0.000 0.829
Cr1 0.000 0.000 0.500
Pd1 0.000 0.500 0.000
Pd2 0.000 0.500 0.328
Pd3 0.000 0.500 0.672
Pd4 0.500 0.000 0.000
Pd5 0.500 0.000 0.328
Pd6 0.500 0.000 0.672
Pd7 0.500 0.500 0.164
Pd8 0.500 0.500 0.500
Pd9 0.500 0.500 0.836

V, Å³/f.u.: 178.3
Total DFT energy (no corrections), eV per atom: -6.4149
Density of states at the Fermi level, states/eV per atom: 0.873
Formation energy, eV/atom: -0.20

A geometry-optimized V3CrPd structure, computed with GGA-PBE.

Lattice parameters (Å, degrees): 4.264 4.264 4.264 90.00 90.00 90.00
Fractional coordinates of all 5 atoms:
V1 0.000 0.000 0.500
V2 0.000 0.500 0.000
V3 0.500 0.000 0.000
Cr1 0.000 0.000 0.000
Pd1 0.500 0.500 0.500

V, Å³/f.u.: 77.5
Total DFT energy (no corrections), eV per atom: -7.6386
Distance to the lowest polymorph of the same formula, eV/atom: 0.0000
Density of states at the Fermi level, states/eV per atom: 1.416
Formation energy, eV/atom: 0.80

A geometry-optimized VCrPd6 structure, computed with GGA-PBE.

Lattice parameters (Å, degrees): 3.906 3.906 7.794 90.00 90.00 90.00
Fractional coordinates of all 8 atoms:
V1 0.000 0.000 0.000
Cr1 0.000 0.000 0.500
Pd1 0.000 0.500 0.243
Pd2 0.000 0.500 0.757
Pd3 0.500 0.000 0.243
Pd4 0.500 0.000 0.757
Pd5 0.500 0.500 0.000
Pd6 0.500 0.500 0.500

V, Å³/f.u.: 118.9
Total DFT energy (no corrections), eV per atom: -6.4154
Distance to the lowest polymorph of the same formula, eV/atom: 0.0000
Density of states at the Fermi level, states/eV per atom: 0.901
Formation energy, eV/atom: -0.18

A geometry-optimized VCr2Pd structure, computed with GGA-PBE.

Lattice parameters (Å, degrees): 3.642 3.642 3.948 90.00 90.00 90.00
Fractional coordinates of all 4 atoms:
V1 0.000 0.000 0.000
Cr1 0.000 0.500 0.500
Cr2 0.500 0.000 0.500
Pd1 0.500 0.500 0.000

V, Å³/f.u.: 52.4
Total DFT energy (no corrections), eV per atom: -8.2262
Distance to the lowest polymorph of the same formula, eV/atom: 0.0578
Density of states at the Fermi level, states/eV per atom: 1.655
Formation energy, eV/atom: 0.16

A geometry-optimized VCr3Pd12 structure, computed with GGA-PBE.

Lattice parameters (Å, degrees): 3.908 3.908 15.586 90.00 90.00 90.00
Fractional coordinates of all 16 atoms:
V1 0.000 0.000 0.000
Cr1 0.000 0.000 0.253
Cr2 0.000 0.000 0.500
Cr3 0.000 0.000 0.747
Pd1 0.000 0.500 0.121
Pd2 0.000 0.500 0.375
Pd3 0.000 0.500 0.625
Pd4 0.000 0.500 0.879
Pd5 0.500 0.000 0.121
Pd6 0.500 0.000 0.375
Pd7 0.500 0.000 0.625
Pd8 0.500 0.000 0.879
Pd9 0.500 0.500 0.000
Pd10 0.500 0.500 0.248
Pd11 0.500 0.500 0.500
Pd12 0.500 0.500 0.752

V, Å³/f.u.: 238.0
Total DFT energy (no corrections), eV per atom: -6.3967
Density of states at the Fermi level, states/eV per atom: 1.203
Formation energy, eV/atom: -0.13

A geometry-optimized VCr2Pd structure, computed with GGA-PBE.

Lattice parameters (Å, degrees): 4.264 4.264 4.264 60.00 60.00 60.00
Fractional coordinates of all 4 atoms:
V1 0.000 0.000 0.000
Cr1 0.250 0.250 0.250
Cr2 0.750 0.750 0.750
Pd1 0.500 0.500 0.500

V, Å³/f.u.: 54.8
Total DFT energy (no corrections), eV per atom: -8.2143
Distance to the lowest polymorph of the same formula, eV/atom: 0.0697
Density of states at the Fermi level, states/eV per atom: 1.065
Formation energy, eV/atom: 0.18

A geometry-optimized VCrPd2 structure, computed with GGA-PBE.

Lattice parameters (Å, degrees): 9.004 9.004 9.004 17.22 17.22 17.22
Fractional coordinates of all 4 atoms:
V1 0.000 0.000 0.000
Cr1 0.500 0.500 0.500
Pd1 0.249 0.249 0.249
Pd2 0.751 0.751 0.751

V, Å³/f.u.: 55.8
Total DFT energy (no corrections), eV per atom: -7.1919
Density of states at the Fermi level, states/eV per atom: 1.101
Formation energy, eV/atom: 0.09

A geometry-optimized VCrPd structure, computed with GGA-PBE.

Lattice parameters (Å, degrees): 3.819 3.819 6.100 102.38 102.38 88.31
Fractional coordinates of all 6 atoms:
V1 0.078 0.078 0.251
V2 0.922 0.922 0.749
Cr1 0.000 0.500 0.000
Cr2 0.500 0.000 0.000
Pd1 0.383 0.383 0.669
Pd2 0.617 0.617 0.331

V, Å³/f.u.: 42.4
Total DFT energy (no corrections), eV per atom: -7.8538
Distance to the lowest polymorph of the same formula, eV/atom: 0.2597
Density of states at the Fermi level, states/eV per atom: 1.287
Formation energy, eV/atom: 0.12

A geometry-optimized VCrPd4 structure, computed with GGA-PBE.

Lattice parameters (Å, degrees): 4.549 4.549 5.317 105.88 105.88 109.11
Fractional coordinates of all 6 atoms:
V1 0.000 0.000 0.000
Cr1 0.500 0.500 0.500
Pd1 0.061 0.433 0.751
Pd2 0.433 0.061 0.751
Pd3 0.567 0.939 0.249
Pd4 0.939 0.567 0.249

V, Å³/f.u.: 91.7
Total DFT energy (no corrections), eV per atom: -6.6170
Distance to the lowest polymorph of the same formula, eV/atom: 0.0689
Density of states at the Fermi level, states/eV per atom: 0.910
Formation energy, eV/atom: -0.03